LaCoN2F after structural relaxation. Source: Alexandria via LeMat-Bulk, functional PBE+U.

Lattice parameters (Å, degrees): 3.819 3.819 4.118 90.00 90.00 90.00
Space group P4/mmm (No. 123)
Symmetry-distinct sites (fractional):
La 0.000 0.000 0.000 [1 per cell]
Co 0.500 0.500 0.500 [1 per cell]
N 0.000 0.500 0.500 [2 per cell]
F 0.500 0.500 0.000 [1 per cell]

* volume: 12.01 A^3/atom
* ΔE to the lowest computed polymorph: 0.0 kJ/mol of atoms